The following is a DFT calculation (GGA-PBE) of Sr4Ag3Rh after structural relaxation.

a = 4.4141 Å, b = 4.7162 Å, c = 11.6679 Å
α = 90.00°, β = 90.00°, γ = 90.00°
Positions (direct):
1 Sr 0.5000 0.5000 0.3405
2 Sr 0.0000 0.5000 0.8777
3 Sr 0.0000 0.0000 0.1370
4 Sr 0.5000 0.0000 0.6436
5 Rh 0.5000 0.5000 0.0702
6 Ag 0.0000 0.5000 0.5686
7 Ag 0.0000 0.0000 0.4278
8 Ag 0.5000 0.0000 0.9345

Energy of formation = -214 kJ/mol of formula units
Final energy = -3.11 eV/atom